(1)
DFT (PBE) results for a relaxed Li2AgHg2Pd4 crystal.

Cell: 6.3726 6.3726 7.8391 Å, 90.00 90.00 90.00°
With the nearest neighbours (Å) after each atom.
Space group I4/mmm (No. 139)
Symmetry-distinct sites (fractional):
Li1 0.0000 0.0000 0.2054 (multiplicity 4)  1 Ag 2.31, 4 Pd 2.52
Ag1 0.0000 0.0000 0.5000 (multiplicity 2)  2 Li 2.31, 4 Pd 2.57
Hg1 0.0000 0.5000 0.2500 (multiplicity 4)  8 Pd 3.00, 4 Li 3.21
Pd1 0.2147 0.2147 0.0000 (multiplicity 8)  2 Li 2.52, 1 Ag 2.57, 2 Pd 2.74

Computed properties:
E_tot ... -3.18 eV/atom
Formation enthalpy at 0 K ... -0.0623 eV/atom

=====

(2)
DFT (PBE) results for a relaxed MgO crystal.

Cell: 2.9591 2.9591 5.1582 Å, 90.00 90.00 120.00°
With the nearest neighbours (Å) after each atom.
Space group P6_3/mmc (No. 194)
Symmetry-distinct sites (fractional):
Mg1 0.0000 0.0000 0.0000 (multiplicity 2)  6 O 2.14
O1 0.3333 0.6667 0.2500 (multiplicity 2)  6 Mg 2.14

Computed properties:
E_tot ... -5.84 eV/atom

=====

(3)
DFT (PBE) results for a relaxed Sm2RhI crystal.

Cell: 3.5604 3.5604 8.3968 Å, 90.00 90.00 90.00°
With the nearest neighbours (Å) after each atom.
Space group P4/mmm (No. 123)
Symmetry-distinct sites (fractional):
Sm1 0.0000 0.0000 0.2031 (multiplicity 2)  4 Rh 3.04
Rh1 0.5000 0.5000 0.0000 (multiplicity 1)  8 Sm 3.04
I1 0.5000 0.5000 0.5000 (multiplicity 1)  8 Sm 3.54, 4 I 3.56

Computed properties:
E_tot ... -5.29 eV/atom
Offset from the most stable computed form ... 0.95 eV per formula unit

=====

(4)
DFT (PBE) results for a relaxed ScBeFe crystal.

Cell: 3.7762 3.7762 3.3391 Å, 90.00 90.00 120.00°
With the nearest neighbours (Å) after each atom.
Space group P-6m2 (No. 187)
Symmetry-distinct sites (fractional):
Sc1 0.0000 0.0000 0.0000 (multiplicity 1)  6 Fe 2.75, 6 Be 2.75
Be1 0.6667 0.3333 0.5000 (multiplicity 1)  3 Fe 2.18
Fe1 0.3333 0.6667 0.5000 (multiplicity 1)  3 Be 2.18

Computed properties:
E_tot ... -6.18 eV/atom
Offset from the most stable computed form ... 0.57 eV per formula unit
Formation enthalpy at 0 K ... -0.0019 eV/atom